No. 1
RbCuTe2PdS | GGA-PBE | relaxed

final energy	-3.755	eV per atom
theoretical density	5.70	Mg/m³

a b c (Å): 4.0902 13.6189 11.3557
angles (deg): 90.00 90.00 90.00
Closest atoms and distances in Å follow each position.
Space group Cmcm (No. 63)
Unique sites:
Rb: 0.0000 0.2281 0.2500  2 S 3.47, 6 Te 3.56-3.75, 3 Cu 3.68-3.75
Cu: 0.0000 0.0472 0.7500  2 S 2.25
Te: 0.0000 0.1245 0.5377  1 Cu 2.63, 2 Pd 2.69
Pd: 0.0000 0.5000 0.0000  4 Te 2.69, 2 S 2.86
S: 0.0000 0.4777 0.7500  2 Cu 2.25

---

No. 2
TmPbAuSe3 | GGA-PBE | relaxed

final energy	-4.572	eV per atom
theoretical density	8.86	Mg/m³

a b c (Å): 7.9332 4.0245 9.9908
angles (deg): 90.00 107.86 90.00
Closest atoms and distances in Å follow each position.
Space group P2_1/m (No. 11)
Unique sites:
Tm: 0.1882 0.2500 0.1666  6 Se 2.82-2.91, 2 Au 3.15
Pb: 0.2440 0.7500 0.7087  7 Se 3.12-3.36
Au: 0.3905 0.7500 0.4039  3 Se 2.60-2.71
Se: 0.0763 0.2500 0.8699  3 Tm 2.82-2.85, 2 Pb 3.12
Se: 0.1936 0.2500 0.4587  2 Au 2.71, 1 Tm 2.91
Se: 0.4393 0.7500 0.1581  1 Au 2.60, 2 Tm 2.85

---

No. 3
Sc2NiSb2Pd | GGA-PBE | relaxed

final energy	-6.243	eV per atom
theoretical density	6.78	Mg/m³

a b c (Å): 7.6655 4.4118 14.6523
angles (deg): 90.00 99.80 90.00
Closest atoms and distances in Å follow each position.
Space group Pm (No. 6)
Unique sites:
Sc: 0.0000 0.0000 0.0000  1 Ni 2.65, 3 Pd 2.71
Sc: 0.0031 0.5000 0.4939  2 Ni 2.66-2.68, 2 Pd 2.73
Sc: 0.2424 0.0000 0.7413  2 Ni 2.68, 2 Pd 2.74-2.78
Sc: 0.2473 0.5000 0.2447  4 Ni 2.67-2.70
Sc: 0.4894 0.0000 0.4897  2 Ni 2.68, 2 Pd 2.73-2.75
Sc: 0.4994 0.5000 0.9998  1 Ni 2.64, 3 Pd 2.73
Sc: 0.7460 0.0000 0.2420  3 Ni 2.69-2.70, 1 Pd 2.72
Sc: 0.7534 0.5000 0.7428  1 Ni 2.67, 3 Pd 2.73-2.77
Ni: 0.0604 0.5000 0.6796  4 Sb 2.66-2.67, 4 Sc 2.67-2.68
Ni: 0.0608 0.0000 0.1835  4 Sb 2.64-2.68, 4 Sc 2.65-2.70
Ni: 0.3073 0.5000 0.4293  4 Sc 2.66-2.68, 4 Sb 2.66-2.68
Ni: 0.5597 0.5000 0.1827  4 Sc 2.64-2.70, 4 Sb 2.64-2.69
Sb: 0.1221 0.5000 0.8640  1 Ni 2.66, 3 Pd 2.74
Sb: 0.1281 0.0000 0.3664  3 Ni 2.64-2.68, 1 Pd 2.75
Sb: 0.3635 0.5000 0.6141  2 Ni 2.66-2.67, 2 Pd 2.75
Sb: 0.3737 0.0000 0.1254  3 Ni 2.68, 1 Pd 2.76
Sb: 0.6127 0.5000 0.3658  2 Ni 2.64-2.66, 2 Pd 2.75
Sb: 0.6222 0.0000 0.8690  4 Pd 2.72-2.75
Sb: 0.8755 0.5000 0.1262  3 Ni 2.68-2.69, 1 Pd 2.76
Sb: 0.8812 0.0000 0.6201  2 Ni 2.67, 2 Pd 2.74-2.75
Pd: 0.3096 0.0000 0.9341  4 Sc 2.71-2.78, 4 Sb 2.72-2.76
Pd: 0.5595 0.0000 0.6789  4 Sc 2.73-2.74, 4 Sb 2.75
Pd: 0.8103 0.0000 0.4304  4 Sc 2.72-2.75, 4 Sb 2.74-2.75
Pd: 0.8129 0.5000 0.9349  4 Sc 2.71-2.77, 4 Sb 2.73-2.76

---

No. 4
Pr2N | GGA-PBE | relaxed

final energy	-5.815	eV per atom
theoretical density	3.07	Mg/m³

a b c (Å): 10.8594 10.8594 10.8594
angles (deg): 90.00 90.00 90.00
Closest atoms and distances in Å follow each position.
Space group Fd-3m (No. 227, origin choice 2)
Unique sites:
Pr: 0.0000 0.0000 0.0000  2 N 2.35
N: 0.1250 0.1250 0.1250  4 Pr 2.35

---

No. 5
LuTl | GGA-PBE | relaxed

final energy	-3.598	eV per atom
theoretical density	11.55	Mg/m³

a b c (Å): 3.5606 3.5606 4.9679
angles (deg): 90.00 90.00 120.00
Closest atoms and distances in Å follow each position.
Space group P-6m2 (No. 187)
Unique sites:
Lu: 0.0000 0.0000 0.0000  6 Tl 3.22, 6 Lu 3.56
Tl: 0.6667 0.3333 0.5000  6 Lu 3.22, 6 Tl 3.56

---

No. 6
FeSiGe | GGA-PBE | relaxed

final energy	-5.925	eV per atom
theoretical density	5.90	Mg/m³

a b c (Å): 5.2110 3.8927 8.6864
angles (deg): 90.00 90.00 90.00
Closest atoms and distances in Å follow each position.
Space group Pnma (No. 62)
Unique sites:
Fe: 0.0062 0.2500 0.1132  3 Si 2.31-2.34, 3 Ge 2.45-2.49
Si: 0.2467 0.2500 0.6027  3 Fe 2.31-2.34, 2 Ge 2.38-2.50
Ge: 0.2094 0.7500 0.3893  2 Si 2.38-2.50, 3 Fe 2.45-2.49

---

No. 7
Nd2DyMg3InGa2 | GGA-PBE | relaxed

final energy	-3.529	eV per atom
theoretical density	5.82	Mg/m³

a b c (Å): 4.6150 12.8386 7.4912
angles (deg): 90.00 90.00 90.00
Closest atoms and distances in Å follow each position.
Space group Amm2 (No. 38)
Unique sites:
Nd: 0.0000 0.2181 0.0000  4 Ga 3.21, 1 In 3.27, 2 Mg 3.29
Dy: 0.0000 0.0000 0.6538  4 Ga 3.16, 1 In 3.22, 2 Mg 3.30
Mg: 0.5000 0.0000 0.9694  2 Ga 2.82, 2 In 3.00
Mg: 0.5000 0.1239 0.3442  2 Ga 2.85-2.89, 2 In 2.94, 1 Mg 3.18
In: 0.0000 0.0000 0.2245  6 Mg 2.94-3.00, 1 Dy 3.22, 2 Nd 3.27
Ga: 0.5000 0.1636 0.7181  3 Mg 2.82-2.89, 2 Dy 3.16

---

No. 8
DyErCu4 | GGA-PBE | relaxed

theoretical density	9.27	Mg/m³
formation energy	-18.66	kJ/mol of atoms

a b c (Å): 3.4661 3.4661 8.7068
angles (deg): 90.00 90.00 90.00
Closest atoms and distances in Å follow each position.
Space group P4/mmm (No. 123)
Unique sites:
Dy: 0.0000 0.0000 0.0000  10 Cu 2.83-2.91
Er: 0.5000 0.5000 0.5000  10 Cu 2.79-2.89
Cu: 0.0000 0.0000 0.3249  5 Cu 2.76-3.05, 1 Dy 2.83, 4 Er 2.89
Cu: 0.5000 0.5000 0.1796  4 Cu 2.76, 1 Er 2.79, 4 Dy 2.91

---

No. 9
BaMgTaIr | GGA-PBE | relaxed

final energy	-5.510	eV per atom
theoretical density	10.68	Mg/m³

a b c (Å): 6.9285 6.9285 6.9285
angles (deg): 90.00 90.00 90.00
Closest atoms and distances in Å follow each position.
Space group F-43m (No. 216)
Unique sites:
Ba: 0.0000 0.0000 0.0000  4 Ta 3.00, 4 Mg 3.00
Mg: 0.2500 0.2500 0.7500  4 Ba 3.00, 4 Ir 3.00
Ta: 0.2500 0.2500 0.2500  4 Ir 3.00, 4 Ba 3.00
Ir: 0.0000 0.0000 0.5000  4 Mg 3.00, 4 Ta 3.00

---

No. 10
SrTcPd | GGA-PBE | relaxed

final energy	-4.418	eV per atom
theoretical density	6.30	Mg/m³

a b c (Å): 6.7525 6.7525 6.7525
angles (deg): 90.00 90.00 90.00
Closest atoms and distances in Å follow each position.
Space group F-43m (No. 216)
Unique sites:
Sr: 0.0000 0.0000 0.0000  4 Tc 2.92, 4 Pd 2.92
Tc: 0.2500 0.2500 0.2500  4 Sr 2.92
Pd: 0.2500 0.2500 0.7500  4 Sr 2.92

---

No. 11
LuInNiPt | GGA-PBE | relaxed

final energy	-5.426	eV per atom
theoretical density	12.60	Mg/m³

a b c (Å): 6.5931 6.5931 6.5931
angles (deg): 90.00 90.00 90.00
Closest atoms and distances in Å follow each position.
Space group F-43m (No. 216)
Unique sites:
Lu: 0.0000 0.0000 0.0000  4 Ni 2.85, 4 Pt 2.85
In: 0.0000 0.0000 0.5000  4 Ni 2.85, 4 Pt 2.85
Ni: 0.2500 0.2500 0.7500  4 In 2.85, 4 Lu 2.85
Pt: 0.2500 0.2500 0.2500  4 In 2.85, 4 Lu 2.85

---

No. 12
ZnBiAu2 | GGA-PBE | relaxed

final energy	-2.824	eV per atom
theoretical density	13.33	Mg/m³

a b c (Å): 6.9316 6.9316 6.9316
angles (deg): 90.00 90.00 90.00
Closest atoms and distances in Å follow each position.
Space group F-43m (No. 216)
Unique sites:
Zn: 0.0000 0.0000 0.0000  4 Bi 3.00, 4 Au 3.00
Bi: 0.2500 0.2500 0.7500  4 Zn 3.00, 4 Au 3.00
Au: 0.0000 0.0000 0.5000  4 Au 3.00, 4 Bi 3.00
Au: 0.2500 0.2500 0.2500  4 Zn 3.00, 4 Au 3.00

---

No. 13
Ho3Er2Lu3 | GGA-PBE | relaxed

theoretical density	9.33	Mg/m³
formation energy	0.14	kJ/mol of atoms

a b c (Å): 5.5161 7.1033 12.3030
angles (deg): 90.00 90.00 90.00
Closest atoms and distances in Å follow each position.
Space group Amm2 (No. 38)
Unique sites:
Ho: 0.0000 0.0000 0.0000  4 Ho 3.43, 4 Er 3.44-3.55, 4 Lu 3.55-3.56
Ho: 0.5000 0.2497 0.0830  4 Ho 3.43-3.56, 4 Lu 3.44-3.55, 4 Er 3.44-3.55
Er: 0.0000 0.0000 0.5000  6 Ho 3.44-3.55, 6 Lu 3.44-3.56
Er: 0.5000 0.0000 0.8332  6 Ho 3.44-3.55, 6 Lu 3.44-3.55
Lu: 0.0000 0.2499 0.2495  4 Ho 3.44-3.56, 4 Lu 3.44-3.55, 4 Er 3.44-3.56
Lu: 0.5000 0.0000 0.3329  4 Lu 3.44, 4 Er 3.44-3.55, 4 Ho 3.55

---

No. 14
NdDyHg | GGA-PBE | relaxed

theoretical density	9.61	Mg/m³
formation energy	-32.93	kJ/mol of atoms

a b c (Å): 7.3448 5.1125 9.3336
angles (deg): 90.00 90.00 90.00
Closest atoms and distances in Å follow each position.
Space group Pnma (No. 62)
Unique sites:
Nd: 0.0149 0.2500 0.1894  3 Hg 3.24-3.31, 3 Dy 3.57-3.62
Dy: 0.1629 0.2500 0.5744  4 Hg 3.05-3.12
Hg: 0.2494 0.2500 0.8959  4 Dy 3.05-3.12, 3 Nd 3.24-3.31

---

No. 15
AlTlPd | GGA-PBE | relaxed

final energy	-3.561	eV per atom
theoretical density	8.65	Mg/m³

a b c (Å): 6.3772 6.3772 6.3772
angles (deg): 90.00 90.00 90.00
Closest atoms and distances in Å follow each position.
Space group F-43m (No. 216)
Unique sites:
Al: 0.0000 0.0000 0.0000  4 Tl 2.76
Tl: 0.2500 0.2500 0.2500  4 Al 2.76, 4 Pd 2.76
Pd: 0.0000 0.0000 0.5000  4 Tl 2.76

---

No. 16
BaDyCuTe3 | GGA-PBE | relaxed

final energy	-4.507	eV per atom
theoretical density	6.26	Mg/m³

a b c (Å): 9.2848 4.4358 9.9774
angles (deg): 90.00 105.43 90.00
Closest atoms and distances in Å follow each position.
Space group P2_1/m (No. 11)
Unique sites:
Ba: 0.1992 0.2500 0.2566  7 Te 3.48-3.78, 1 Cu 3.77
Dy: 0.3203 0.7500 0.8431  6 Te 3.02-3.11
Cu: 0.0780 0.2500 0.5886  4 Te 2.70-2.72, 2 Cu 2.96
Te: 0.0987 0.2500 0.8641  1 Cu 2.70
Te: 0.2191 0.7500 0.5294  3 Cu 2.70-2.72
Te: 0.4488 0.7500 0.1647  3 Dy 3.10-3.11

---

No. 17
Pa3Al | GGA-PBE | relaxed

final energy	-8.159	eV per atom
theoretical density	12.94	Mg/m³

a b c (Å): 4.5213 4.5213 4.5213
angles (deg): 90.00 90.00 90.00
Closest atoms and distances in Å follow each position.
Space group Pm-3m (No. 221)
Unique sites:
Pa: 0.0000 0.0000 0.5000  8 Pa 3.20, 4 Al 3.20
Al: 0.5000 0.5000 0.5000  12 Pa 3.20

---

No. 18
FeB4Pd | GGA-PBE | relaxed

final energy	-6.511	eV per atom
theoretical density	6.42	Mg/m³

a b c (Å): 3.0119 5.1963 6.7976
angles (deg): 90.00 90.00 90.00
Closest atoms and distances in Å follow each position.
Space group Immm (No. 71)
Unique sites:
Fe: 0.0000 0.0000 0.0000  12 B 2.37-2.48
B: 0.0000 0.3299 0.2632  3 B 1.73-1.77
Pd: 0.0000 0.0000 0.5000  12 B 2.35-2.50

---

No. 19
LaGdSn | GGA-PBE | relaxed

final energy	-4.967	eV per atom
theoretical density	6.56	Mg/m³

a b c (Å): 7.4902 7.4902 7.4902
angles (deg): 90.00 90.00 90.00
Closest atoms and distances in Å follow each position.
Space group F-43m (No. 216)
Unique sites:
La: 0.0000 0.0000 0.0000  4 Sn 3.24
Gd: 0.0000 0.0000 0.5000  4 Sn 3.24
Sn: 0.2500 0.2500 0.7500  4 Gd 3.24, 4 La 3.24

---

No. 20
Ho2Er2Co | GGA-PBE | relaxed

theoretical density	9.29	Mg/m³
formation energy	-3.94	kJ/mol of atoms

a b c (Å): 11.4411 4.8421 10.2545
angles (deg): 90.00 114.50 90.00
Closest atoms and distances in Å follow each position.
Space group C2/m (No. 12)
Unique sites:
Ho: 0.0003 0.0000 0.1646  2 Co 2.90, 1 Er 3.07
Ho: 0.1311 0.5000 0.6972  1 Co 2.61
Er: 0.1510 0.0000 0.4922  3 Co 2.64-2.88
Er: 0.1696 0.5000 0.0838  1 Co 2.87
Co: 0.1051 0.5000 0.3256  3 Ho 2.61-2.90, 4 Er 2.64-2.88